This record from Alexandria describes AlCoRe2 after structural relaxation. The functional is PBE.

Output
ΔE_f: -3.8 kJ/mol of atoms
M_tot: 0.0 μB per formula unit
Total energy: -35.90 eV per formula unit

Unit cell a=4.695 b=4.695 c=4.582 alpha=101.37 beta=101.37 gamma=33.96
Sites, in units of the cell vectors:
Al 0.000 0.000 0.000
Co 0.500 0.500 0.500
Re 0.242 0.242 0.742
Re 0.758 0.758 0.258


This record from Alexandria describes AlCo2Re after structural relaxation. The functional is PBE.

Output
ΔE_f: -26.2 kJ/mol of atoms
M_tot: 0.0 μB per formula unit
Total energy: -31.49 eV per formula unit

Unit cell a=2.688 b=2.688 c=6.708 alpha=90.00 beta=90.00 gamma=90.00
Sites, in units of the cell vectors:
Al 0.000 0.000 0.000
Co 0.500 0.500 0.238
Co 0.500 0.500 0.762
Re 0.000 0.000 0.500


This record from Alexandria describes Al2CoRe after structural relaxation. The functional is PBE.

Output
ΔE_f: -13.1 kJ/mol of atoms
M_tot: 0.5 μB per formula unit
Total energy: -27.58 eV per formula unit

Unit cell a=3.069 b=3.069 c=5.706 alpha=90.00 beta=90.00 gamma=90.00
Sites, in units of the cell vectors:
Al 0.000 0.000 0.000
Al 0.500 0.500 0.280
Co 0.000 0.000 0.486
Re 0.500 0.500 0.753


This record from Alexandria describes AlCo2Re after structural relaxation. The functional is PBE.

Output
ΔE_f: -6.5 kJ/mol of atoms
M_tot: 0.9 μB per formula unit
Total energy: -30.67 eV per formula unit

Unit cell a=2.662 b=3.645 c=5.171 alpha=90.00 beta=90.00 gamma=90.00
Sites, in units of the cell vectors:
Al 0.000 0.000 0.000
Co 0.000 0.000 0.482
Co 0.500 0.500 0.207
Re 0.500 0.500 0.691